## ZrZnIn (PBE-GGA)

Data for a relaxed ZrZnIn crystal.

## Properties
density of states at the Fermi level: 1.8 states/eV per cell
uncorrected energy: -4.360 eV/atom
calculated formation energy: -0.52 eV/f.u.

abc: 6.2422 6.2418 3.2274
angles: 75.02 75.01 29.96
Fractional coordinates of all 3 atoms:
Zr (0.6781, 0.6781, 0.3219)
Zn (0.3326, 0.3326, 0.6674)
In (0.9894, 0.9894, 0.0106)

## Zr5Zn3In (PBE-GGA)

Data for a relaxed Zr5Zn3In crystal.

## Properties
density of states at the Fermi level: 23.6 states/eV per cell
uncorrected energy: -5.682 eV/atom
calculated formation energy: -1.84 eV/f.u.

abc: 5.8771 8.4244 8.4246
angles: 120.00 90.00 90.00
Fractional coordinates of all 18 atoms:
Zn (0.7500, 0.0000, 0.6496)
Zn (0.7500, 0.3504, 0.3504)
Zn (0.7500, 0.6496, 0.0000)
Zn (0.2500, 0.0000, 0.3504)
Zn (0.2500, 0.3504, 0.0000)
Zn (0.2500, 0.6496, 0.6496)
In (0.5000, 0.0000, 0.0000)
In (0.0000, 0.0000, 0.0000)
Zr (0.2500, 0.6763, 0.0000)
Zr (0.7500, 0.0000, 0.3237)
Zr (0.7500, 0.6763, 0.6763)
Zr (0.2500, 0.3237, 0.3237)
Zr (0.7500, 0.3237, 0.0000)
Zr (0.5000, 0.6667, 0.3334)
Zr (0.0000, 0.6667, 0.3334)
Zr (0.2500, 0.0000, 0.6763)
Zr (0.0000, 0.3333, 0.6666)
Zr (0.5000, 0.3333, 0.6666)

## Zr2Zn3In (PBE-GGA)

Data for a relaxed Zr2Zn3In crystal.

## Properties
excess energy over the best structure of this formula in the dataset: 0.172 eV per atom
density of states at the Fermi level: 3.7 states/eV per cell
uncorrected energy: -4.047 eV/atom
calculated formation energy: -0.62 eV/f.u.

abc: 4.2899 3.4170 8.5113
angles: 101.58 104.60 90.00
Fractional coordinates of all 6 atoms:
Zn (0.2832, 0.7832, 0.5663)
Zn (0.5665, 0.5665, 0.1331)
Zn (0.7134, 0.7134, 0.4268)
In (0.4475, 0.9475, 0.8951)
Zr (0.8612, 0.3612, 0.7225)
Zr (0.1281, 0.1281, 0.2563)